KSnAu3: optimized geometry, PBE.

The space group is I-4m2 (No. 119) and the conventional cell measures 5.225, 5.225 and 23.818 Å, with angles of 90.00, 90.00 and 90.00 degrees. Symmetry generates all atoms from K at (0.000, 0.000, 0.000), K at (0.000, 0.500, 0.250), Sn at (0.000, 0.000, 0.414), Au at (0.000, 0.250, 0.124) and Au at (0.000, 0.500, 0.625).

The calculation puts the theoretical density at 7.6 Mg/m³. The uncorrected energy is -3.123 eV/atom. The energy relative to the lowest polymorph listed for this composition is 0.0665 eV per atom. For the density of states at the Fermi level, the calculation gives 2.0 states/eV/f.u.

MnFeTc2Rh: optimized geometry, PBE.

The space group is P4/mmm (No. 123) and the conventional cell measures 4.336, 4.336 and 4.114 Å, with angles of 90.00, 90.00 and 90.00 degrees. Symmetry generates all atoms from Mn at (0.000, 0.000, 0.000), Fe at (0.000, 0.000, 0.500), Tc at (0.000, 0.500, 0.500) and Rh at (0.500, 0.500, 0.000).

The calculation puts the theoretical density at 8.8 Mg/m³. The uncorrected energy is -7.908 eV/atom. For the density of states at the Fermi level, the calculation gives 9.5 states/eV/f.u.

SnH2Pd5: optimized geometry, PBE.

The space group is Immm (No. 71) and the conventional cell measures 4.324, 5.577 and 8.722 Å, with angles of 90.00, 90.00 and 90.00 degrees. Symmetry generates all atoms from Sn at (0.000, 0.000, 0.000), H at (0.000, 0.500, 0.212), Pd at (0.000, 0.249, 0.343) and Pd at (0.000, 0.500, 0.000).

The calculation puts the theoretical density at 10.3 Mg/m³. The uncorrected energy is -4.773 eV/atom. The energy relative to the lowest polymorph listed for this composition is 0.0089 eV per atom. For the density of states at the Fermi level, the calculation gives 4.9 states/eV/f.u.

The lowest theoretical density belongs to which entry?
KSnAu3